Record 1
# PBE Pm2Pr3Sn, relaxed
# density of states at the Fermi level	6.93	states/eV/cell
# ΔE_f	-0.26	eV/atom
# energy above the most stable polymorph in this dataset	0.000	eV/f.u.
data_Pm2Pr3Sn
_symmetry_space_group_name_H-M 'P 1'
_symmetry_Int_Tables_number 1
_cell_length_a 8.218
_cell_length_b 8.218
_cell_length_c 5.015
_cell_angle_alpha 90.00
_cell_angle_beta 90.00
_cell_angle_gamma 144.82
loop_
_symmetry_equiv_pos_as_xyz
'x,y,z'
loop_
_atom_site_label
_atom_site_fract_x
_atom_site_fract_y
_atom_site_fract_z
Pm1 0.160 0.840 0.000
Pm2 0.840 0.160 0.000
Pr1 0.000 0.000 0.500
Pr2 0.337 0.663 0.500
Pr3 0.663 0.337 0.500
Sn1 0.500 0.500 0.000



Record 2
# PBE InSbTe2Br, relaxed
# density of states at the Fermi level	5.88	states/eV/cell
# E_form (uncorrected)	3.19	eV per formula unit
# energy above the most stable polymorph in this dataset	0.592	eV/f.u.
data_InSbTe2Br
_symmetry_space_group_name_H-M 'P 1'
_symmetry_Int_Tables_number 1
_cell_length_a 5.813
_cell_length_b 5.813
_cell_length_c 5.563
_cell_angle_alpha 90.00
_cell_angle_beta 90.00
_cell_angle_gamma 90.00
loop_
_symmetry_equiv_pos_as_xyz
'x,y,z'
loop_
_atom_site_label
_atom_site_fract_x
_atom_site_fract_y
_atom_site_fract_z
In1 0.000 0.000 0.000
Sb1 0.500 0.500 0.000
Te1 0.000 0.500 0.500
Te2 0.500 0.000 0.500
Br1 0.500 0.500 0.500



Record 3
# PBE NbTlIn2Cl8, relaxed
# E_form (uncorrected)	-12.76	eV per formula unit
data_NbTlIn2Cl8
_symmetry_space_group_name_H-M 'P 1'
_symmetry_Int_Tables_number 1
_cell_length_a 6.929
_cell_length_b 7.029
_cell_length_c 8.902
_cell_angle_alpha 89.48
_cell_angle_beta 89.66
_cell_angle_gamma 88.80
loop_
_symmetry_equiv_pos_as_xyz
'x,y,z'
loop_
_atom_site_label
_atom_site_fract_x
_atom_site_fract_y
_atom_site_fract_z
Nb1 0.000 0.000 0.000
Tl1 0.000 0.000 0.500
In1 0.499 0.496 0.741
In2 0.501 0.504 0.259
Cl1 0.112 0.214 0.807
Cl2 0.116 0.211 0.189
Cl3 0.301 0.836 0.997
Cl4 0.357 0.719 0.501
Cl5 0.643 0.281 0.499
Cl6 0.699 0.164 0.003
Cl7 0.884 0.789 0.811
Cl8 0.888 0.786 0.193